Record 1
# LiInGaF6 (PBE, relaxed)
data_LiInGaF6
_chemical_formula_sum 'Li2 In2 Ga2 F12'
_cell_length_a 5.5574
_cell_length_b 5.5574
_cell_length_c 8.8733
_cell_angle_alpha 90.00
_cell_angle_beta 90.00
_cell_angle_gamma 120.00
_symmetry_space_group_name_H-M 'P -3 1 c'
_symmetry_Int_Tables_number 163
_symmetry_space_group_name_Hall '-P 3 2c'
loop_
_atom_site_label
_atom_site_type_symbol
_atom_site_fract_x
_atom_site_fract_y
_atom_site_fract_z
Li1 Li 0.0000 0.0000 0.0000
In1 In 0.3333 0.6667 0.2500
Ga1 Ga 0.3333 0.6667 0.7500
F1 F 0.0508 0.3667 0.6283
# Final energy, eV/cell: -81.812
# Spin magnetization, Bohr magnetons per cell: 0.00

---

Record 2
# InGaN2F (PBE, relaxed)
data_InGaN2F
_chemical_formula_sum 'In1 Ga1 N2 F1'
_cell_length_a 4.335
_cell_length_b 4.335
_cell_length_c 4.376
_cell_angle_alpha 90.00
_cell_angle_beta 90.00
_cell_angle_gamma 90.00
_symmetry_space_group_name_H-M 'P 4/m m m'
_symmetry_Int_Tables_number 123
_symmetry_space_group_name_Hall '-P 4 2'
loop_
_atom_site_label
_atom_site_type_symbol
_atom_site_fract_x
_atom_site_fract_y
_atom_site_fract_z
In1 In 0.000 0.000 0.000
Ga1 Ga 0.500 0.500 0.500
N1 N 0.000 0.500 0.000
F1 F 0.000 0.000 0.500
# Final energy, eV/cell: -21.449
# Energy relative to the lowest polymorph listed for this composition, meV per atom: 434
# Spin magnetization, Bohr magnetons per cell: 2.95

---

| no. | calculated volume (Å³/cell) | E_form (uncorrected) (meV per atom) |
| --- | --- | --- |
| 1 | 237 | -2444 |
| 2 | 82 | 568 |